Compound: BaNi3AsP
Source: the Alexandria database
Functional: GGA-PBE
Structure: relaxed

- Volume: 18.778 Å³/atom
- SG: Cmcm (63)
- M_tot: 0.00 μB/f.u.
- Density: 6.18 g cm⁻³
- Energy: -5.3742 eV/atom

a = 5.982 Å, b = 6.151 Å, c = 6.853 Å
α = 116.67°, β = 90.00°, γ = 90.00°
Fractional positions:
Ni 0.750 0.748 0.497
Ni 0.000 0.786 0.000
Ni 0.250 0.252 0.503
Ba 0.250 0.745 0.490
Ni 0.500 0.214 0.000
Ba 0.750 0.255 0.510
P 0.750 0.921 0.842
Ni 0.000 0.214 0.000
Ni 0.500 0.786 0.000
P 0.250 0.079 0.158
As 0.250 0.436 0.871
As 0.750 0.564 0.129